First-principles (PBE) data for a geometry-optimized Sr2InGa2 structure, as listed in Alexandria.

a b c (Å): 7.693 7.693 4.915
angles (deg): 90.00 90.00 90.00
Sites, in units of the cell vectors:
Sr 0.181 0.681 0.500
Sr 0.681 0.819 0.500
Sr 0.819 0.319 0.500
Sr 0.319 0.181 0.500
Ga 0.381 0.881 0.000
Ga 0.881 0.619 0.000
Ga 0.619 0.119 0.000
Ga 0.119 0.381 0.000
In 0.000 0.000 0.000
In 0.500 0.500 0.000

Output
Total magnetization = 0.00 μB/f.u.
Energy = -2.811 eV per atom
Space group = P4/mbm
ΔE_f = -380 meV per atom
Energy above the most stable polymorph in this dataset = 1.44 kcal/mol of atoms

=====

First-principles (PBE) data for a geometry-optimized Pm2GaRu structure, as listed in Alexandria.

a b c (Å): 3.862 6.140 8.772
angles (deg): 111.26 90.00 90.00
Sites, in units of the cell vectors:
Pm 0.750 0.212 0.414
Pm 0.250 0.788 0.586
Pm 0.250 0.781 0.054
Pm 0.750 0.219 0.946
Ga 0.750 0.629 0.284
Ga 0.250 0.371 0.716
Ru 0.250 0.324 0.213
Ru 0.750 0.676 0.787

Output
Total magnetization = 0.00 μB/f.u.
Energy = -5.894 eV per atom
Space group = P2_1/m
ΔE_f = -443 meV per atom

=====

First-principles (PBE) data for a geometry-optimized TbZr3Sc6 structure, as listed in Alexandria.

a b c (Å): 3.214 11.940 13.089
angles (deg): 100.05 90.00 90.00
Sites, in units of the cell vectors:
Tb 0.750 0.037 0.724
Tb 0.250 0.963 0.276
Zr 0.750 0.427 0.905
Zr 0.250 0.573 0.095
Zr 0.750 0.619 0.502
Zr 0.250 0.381 0.498
Zr 0.750 0.075 0.095
Zr 0.250 0.925 0.905
Sc 0.750 0.500 0.689
Sc 0.250 0.500 0.311
Sc 0.750 0.805 0.071
Sc 0.250 0.195 0.929
Sc 0.750 0.347 0.116
Sc 0.250 0.653 0.884
Sc 0.750 0.721 0.297
Sc 0.250 0.279 0.703
Sc 0.750 0.135 0.489
Sc 0.250 0.865 0.511
Sc 0.750 0.777 0.714
Sc 0.250 0.223 0.286

Output
Total magnetization = 0.00 μB/f.u.
Energy = -6.759 eV per atom
Space group = P2_1/m
ΔE_f = 68 meV per atom
Energy above the most stable polymorph in this dataset = 0.00 kcal/mol of atoms

=====

First-principles (PBE) data for a geometry-optimized Pm4Dy2Er5 structure, as listed in Alexandria.

a b c (Å): 5.636 6.590 9.956
angles (deg): 90.98 106.44 90.00
Sites, in units of the cell vectors:
Pm 0.305 0.926 0.611
Pm 0.979 0.714 0.958
Pm 0.695 0.074 0.389
Pm 0.021 0.286 0.042
Dy 0.402 0.446 0.803
Dy 0.598 0.554 0.197
Er 0.791 0.598 0.582
Er 0.209 0.402 0.418
Er 0.870 0.110 0.740
Er 0.500 0.000 0.000
Er 0.130 0.890 0.260

Output
Total magnetization = 0.00 μB/f.u.
Energy = -4.532 eV per atom
Space group = C2/m
ΔE_f = 106 meV per atom
Energy above the most stable polymorph in this dataset = 0.00 kcal/mol of atoms

=====

First-principles (PBE) data for a geometry-optimized PaTaSe4 structure, as listed in Alexandria.

a b c (Å): 5.011 6.818 8.973
angles (deg): 90.00 106.21 90.00
Site moments in Bohr magnetons follow the coordinates.
Sites, in units of the cell vectors:
Pa 0.834 0.884 0.668  0.87
Pa 0.166 0.384 0.332  0.87
Ta 0.599 0.749 0.199  0.26
Ta 0.401 0.249 0.801  0.26
Se 0.902 0.269 0.804  -0.02
Se 0.098 0.769 0.196  -0.02
Se 0.460 0.898 0.919  -0.01
Se 0.540 0.398 0.081  -0.01
Se 0.726 0.545 0.453  -0.02
Se 0.274 0.045 0.547  -0.02
Se 0.671 0.088 0.341  -0.02
Se 0.329 0.588 0.659  -0.02

Output
Total magnetization = 1.26 μB/f.u.
Energy = -6.706 eV per atom
Formation energy without anion corrections = -19.0 kcal/mol of atoms
Space group = Cmc2_1
Energy above the most stable polymorph in this dataset = 0.00 kcal/mol of atoms

=====

First-principles (PBE) data for a geometry-optimized ErTlSb2 structure, as listed in Alexandria.

a b c (Å): 4.089 4.089 6.760
angles (deg): 90.00 90.00 90.00
Sites, in units of the cell vectors:
Sb 0.000 0.000 0.780
Sb 0.000 0.000 0.220
Tl 0.500 0.500 0.500
Er 0.500 0.500 0.000

Output
Total magnetization = 0.00 μB/f.u.
Energy = -4.246 eV per atom
Formation energy without anion corrections = -10.4 kcal/mol of atoms
Space group = P4/mmm
Energy above the most stable polymorph in this dataset = 0.00 kcal/mol of atoms

=====

First-principles (PBE) data for a geometry-optimized FeRhC3 structure, as listed in Alexandria.

a b c (Å): 3.910 3.910 3.910
angles (deg): 90.00 90.00 90.00
Sites, in units of the cell vectors:
C 0.000 0.500 0.000
C 0.000 0.000 0.500
C 0.500 0.000 0.000
Rh 0.000 0.000 0.000
Fe 0.500 0.500 0.500

Output
Total magnetization = 0.03 μB/f.u.
Energy = -6.007 eV per atom
Space group = Pm-3m
ΔE_f = 2690 meV per atom
Energy above the most stable polymorph in this dataset = 18.09 kcal/mol of atoms

=====

First-principles (PBE) data for a geometry-optimized AsRhIO2 structure, as listed in Alexandria.

a b c (Å): 3.851 3.851 7.812
angles (deg): 90.00 90.00 90.00
Site moments in Bohr magnetons follow the coordinates.
Sites, in units of the cell vectors:
I 0.000 0.000 0.500  -0.02
As 0.500 0.500 0.500  -0.06
Rh 0.000 0.000 0.000  0.35
O 0.000 0.500 0.000  0.13
O 0.500 0.000 0.000  0.13

Output
Total magnetization = 0.53 μB/f.u.
Energy = -4.522 eV per atom
Formation energy without anion corrections = 4.0 kcal/mol of atoms
Space group = P4/mmm
Energy above the most stable polymorph in this dataset = 3.12 kcal/mol of atoms

=====

First-principles (PBE) data for a geometry-optimized CsNaSiO3 structure, as listed in Alexandria.

a b c (Å): 5.139 5.834 7.120
angles (deg): 114.18 90.00 90.00
Sites, in units of the cell vectors:
Cs 0.750 0.261 0.523
Cs 0.250 0.739 0.477
Na 0.250 0.444 0.887
Na 0.750 0.556 0.113
Si 0.250 0.041 0.081
Si 0.750 0.959 0.919
O 0.250 0.167 0.333
O 0.000 0.198 0.000
O 0.500 0.802 0.000
O 0.500 0.198 0.000
O 0.000 0.802 0.000
O 0.750 0.833 0.667

Output
Total magnetization = 0.00 μB/f.u.
Energy = -5.883 eV per atom
Formation energy without anion corrections = -49.3 kcal/mol of atoms
Space group = Cmcm
Energy above the most stable polymorph in this dataset = 3.69 kcal/mol of atoms